1.
! PBE Sr2In2Pt, optimized geometry; values from VASP
! - formation enthalpy at 0 K (eV/atom) = -0.62
! - relative energy among the computed polymorphs (meV per atom) = 0.0
! - VASP energy (eV per atom) = -3.593
&SYSTEM
  ibrav = 0, nat = 10, ntyp = 3
/
ATOMIC_SPECIES
In 114.82 In.upf
Pt 195.08 Pt.upf
Sr 87.62 Sr.upf
CELL_PARAMETERS angstrom
-0.6070 -2.2887 -3.8110
4.9661 0.7792 -3.8999
3.6991 -10.3833 3.0054
ATOMIC_POSITIONS angstrom
In 5.1315 -5.9945 -5.1405
In 7.0460 -10.0044 -3.0374
In 2.9267 -5.8983 0.4350
In 1.0122 -1.8884 -1.6682
Pt 5.6079 -3.4698 -4.0915
Pt 2.4504 -8.4230 -0.6141
Sr 4.0873 -0.8728 -2.7679
Sr 5.4668 -7.1898 -1.8351
Sr 2.5914 -4.7030 -2.8705
Sr 3.9709 -11.0200 -1.9377

2.
! PBE Sr2InPt, optimized geometry; values from VASP
! - formation enthalpy at 0 K (eV/atom) = -0.48
! - VASP energy (eV per atom) = -3.511
&SYSTEM
  ibrav = 0, nat = 4, ntyp = 3
/
ATOMIC_SPECIES
In 114.82 In.upf
Pt 195.08 Pt.upf
Sr 87.62 Sr.upf
CELL_PARAMETERS angstrom
-2.5098 -2.6620 -2.1780
0.7306 -0.7874 -4.1201
4.6486 -7.8390 0.1898
ATOMIC_POSITIONS angstrom
In 2.1521 -8.4663 -4.5812
Pt 0.7174 -2.8221 -1.5271
Sr -1.5110 -3.7886 -6.1781
Sr 1.1665 -5.3050 -3.1742

3.
! PBE Sr2InPt2, optimized geometry; values from VASP
! - formation enthalpy at 0 K (eV/atom) = -0.83
! - VASP energy (eV per atom) = -4.468
&SYSTEM
  ibrav = 0, nat = 10, ntyp = 3
/
ATOMIC_SPECIES
Pt 195.08 Pt.upf
Sr 87.62 Sr.upf
In 114.82 In.upf
CELL_PARAMETERS angstrom
6.0381 0.0000 0.0000
-3.0190 5.1958 0.0115
0.0000 -1.9503 8.1797
ATOMIC_POSITIONS angstrom
Pt 5.2065 1.4218 0.0237
Pt -2.1874 1.8238 8.1674
Pt 0.8316 0.4466 4.1136
Pt 2.1874 2.7989 4.0776
Sr 2.1621 1.2511 1.2088
Sr -0.8570 2.9696 2.8925
Sr 3.8760 0.2759 5.2987
Sr 0.8570 1.9945 6.9823
In 5.2259 -0.4876 2.0449
In 0.8122 -1.4627 6.1348

4.
! PBE Sr2InPt3, optimized geometry; values from VASP
! - formation enthalpy at 0 K (eV/atom) = -0.49
! - VASP energy (eV per atom) = -4.530
&SYSTEM
  ibrav = 0, nat = 6, ntyp = 3
/
ATOMIC_SPECIES
Pt 195.08 Pt.upf
In 114.82 In.upf
Sr 87.62 Sr.upf
CELL_PARAMETERS angstrom
-1.4662 -4.3392 0.2737
2.1297 -1.0532 -5.2892
4.7683 1.1223 4.8747
ATOMIC_POSITIONS angstrom
Pt 1.5805 -3.0816 -1.9282
Pt 0.0000 0.0000 0.0000
Pt 3.8513 -1.1886 1.7874
In 1.0648 -0.5266 -2.6446
Sr 1.0830 -2.7301 0.9797
Sr 4.3488 -1.5401 -1.1205

5.
! PBE SrIn6Pt4, optimized geometry; values from VASP
! - formation enthalpy at 0 K (eV/atom) = -0.58
! - VASP energy (eV per atom) = -4.419
&SYSTEM
  ibrav = 0, nat = 11, ntyp = 3
/
ATOMIC_SPECIES
In 114.82 In.upf
Pt 195.08 Pt.upf
Sr 87.62 Sr.upf
CELL_PARAMETERS angstrom
7.1118 -0.1584 -0.2329
-3.4286 6.2328 0.2329
-3.4286 -2.0749 5.8818
ATOMIC_POSITIONS angstrom
In 1.8416 -1.1167 2.8245
In -4.8372 1.4847 5.2983
In -4.8372 4.3813 3.3287
In -0.7358 1.8944 2.7860
In 1.8416 3.0372 0.0000
In 3.8076 0.3968 0.5836
Pt -2.6555 3.0719 4.5178
Pt -2.9055 3.2235 1.5970
Pt -2.9055 0.3000 3.5849
Pt 1.8640 1.5619 2.2970
Sr 0.0000 0.0000 0.0000

6.
! PBE SrIn3Pt2, optimized geometry; values from VASP
! - formation enthalpy at 0 K (eV/atom) = -0.52
! - relative energy among the computed polymorphs (meV per atom) = 89.8
! - VASP energy (eV per atom) = -4.178
&SYSTEM
  ibrav = 0, nat = 12, ntyp = 3
/
ATOMIC_SPECIES
Pt 195.08 Pt.upf
In 114.82 In.upf
Sr 87.62 Sr.upf
CELL_PARAMETERS angstrom
-8.8817 -3.3320 0.4124
-3.6935 -4.6041 -7.4375
-2.8677 -5.9991 -0.9231
ATOMIC_POSITIONS angstrom
Pt -6.2876 -3.9681 -3.5125
Pt -1.8468 -2.3021 -3.7188
Pt 0.0000 0.0000 0.0000
Pt -4.4408 -1.6660 0.2062
In -9.7315 -8.1523 -2.2425
In -8.3026 -5.1477 -1.7850
In -7.1403 -8.7876 -6.1632
In -5.7114 -5.7830 -5.7057
In -10.1473 -7.4472 -5.4997
In -5.2956 -6.4881 -2.4485
Sr -3.8595 -3.4870 -1.9857
Sr -11.5834 -10.4482 -5.9625

7.
! PBE SrIn3Pt, optimized geometry; values from VASP
! - formation enthalpy at 0 K (eV/atom) = 1.29
! - VASP energy (eV per atom) = -1.896
&SYSTEM
  ibrav = 0, nat = 5, ntyp = 3
/
ATOMIC_SPECIES
Pt 195.08 Pt.upf
Sr 87.62 Sr.upf
In 114.82 In.upf
CELL_PARAMETERS angstrom
-2.4115 4.8728 2.5757
1.6925 -2.0210 5.4079
5.2454 2.8923 -0.5608
ATOMIC_POSITIONS angstrom
Pt 2.2632 2.8721 3.7114
Sr 0.0000 0.0000 0.0000
In 2.6227 1.4462 -0.2804
In -1.2058 2.4364 1.2879
In 0.8462 -1.0105 2.7039

8.
! PBE SrIn3Pt2, optimized geometry; values from VASP
! - formation enthalpy at 0 K (eV/atom) = -0.60
! - relative energy among the computed polymorphs (meV per atom) = 0.0
! - VASP energy (eV per atom) = -4.268
&SYSTEM
  ibrav = 0, nat = 18, ntyp = 3
/
ATOMIC_SPECIES
In 114.82 In.upf
Sr 87.62 Sr.upf
Pt 195.08 Pt.upf
CELL_PARAMETERS angstrom
4.4505 0.0000 0.0000
-2.2252 8.5100 -2.8716
0.0000 0.0377 11.2618
ATOMIC_POSITIONS angstrom
In 2.2252 4.8253 5.2369
In 2.2252 2.9907 9.8282
In 0.0000 3.7224 3.1533
In 2.2252 0.0189 5.6309
In 0.0000 5.5569 -1.4380
In 2.2252 7.8711 4.7487
In 0.0000 0.6765 3.6416
In 0.0000 6.4155 6.8886
In 2.2252 2.1322 1.5017
Sr 0.0000 2.7484 7.0509
Sr 0.0000 0.0000 0.0000
Sr 2.2252 5.7993 1.3394
Pt 2.2252 0.5169 8.6881
Pt 0.0000 8.0308 -0.2978
Pt 0.0000 6.2038 4.1337
Pt 0.0000 3.3999 0.3448
Pt 2.2252 5.1477 8.0455
Pt 2.2252 2.3438 4.2566

Among the records above, which one has the highest formation enthalpy at 0 K?
SrIn3Pt

Among the records above, which one has the highest VASP energy?
SrIn3Pt